## A
A plane-wave DFT calculation with PBE was carried out for a relaxed structure of Cs2HfRe2.

Lattice parameters (Å, degrees): 6.791 6.791 6.549 90.00 90.00 90.00
Positions (direct):
Cs: 0.180 0.680 0.500
Cs: 0.680 0.820 0.500
Cs: 0.820 0.320 0.500
Cs: 0.320 0.180 0.500
Re: 0.377 0.877 0.000
Re: 0.877 0.623 0.000
Re: 0.623 0.123 0.000
Re: 0.123 0.377 0.000
Hf: 0.000 0.000 0.000
Hf: 0.500 0.500 0.000

## B
A plane-wave DFT calculation with PBE was carried out for a relaxed structure of Cs2HfRe2.

Lattice parameters (Å, degrees): 4.270 4.270 8.732 75.85 75.85 90.00
Positions (direct):
Cs: 0.750 0.250 0.500
Cs: 0.250 0.750 0.500
Re: 0.434 0.434 0.132
Re: 0.566 0.566 0.868
Hf: 0.000 0.000 0.000

The structure with the greatest stability is A.

## A
A plane-wave DFT calculation with PBE was carried out for a relaxed structure of CsHfRe2.

Lattice parameters (Å, degrees): 4.840 4.840 4.840 60.00 60.00 60.00
Positions (direct):
Cs: 0.000 0.000 0.000
Re: 0.250 0.250 0.250
Re: 0.750 0.750 0.750
Hf: 0.500 0.500 0.500

## B
A plane-wave DFT calculation with PBE was carried out for a relaxed structure of CsHfRe2.

Lattice parameters (Å, degrees): 4.980 4.980 10.049 75.65 75.65 90.00
Positions (direct):
Cs: 0.500 0.500 0.000
Cs: 0.250 0.750 0.500
Re: 0.833 0.125 0.250
Re: 0.917 0.625 0.250
Re: 0.375 0.167 0.750
Re: 0.875 0.083 0.750
Hf: 0.000 0.000 0.000
Hf: 0.750 0.250 0.500

The structure with the greatest stability is B.

## A
A plane-wave DFT calculation with PBE was carried out for a relaxed structure of CsHf2Rh.

Lattice parameters (Å, degrees): 6.192 6.192 9.187 70.31 70.31 90.00
Positions (direct):
Cs: 0.000 0.000 0.000
Cs: 0.750 0.250 0.500
Rh: 0.500 0.500 0.000
Rh: 0.250 0.750 0.500
Hf: 0.375 0.125 0.250
Hf: 0.375 0.625 0.250
Hf: 0.375 0.625 0.750
Hf: 0.875 0.625 0.750

## B
A plane-wave DFT calculation with PBE was carried out for a relaxed structure of CsHf2Rh.

Lattice parameters (Å, degrees): 4.964 4.964 4.964 60.00 60.00 60.00
Positions (direct):
Cs: 0.500 0.500 0.500
Rh: 0.000 0.000 0.000
Hf: 0.250 0.250 0.250
Hf: 0.750 0.750 0.750

The structure with the greatest stability is B.